Here is Li5La3Tm12 after structural relaxation from Alexandria. Energies are from PBE.

```
Li5La3Tm12
1.0
15.339 0.000 0.000
-5.113 14.462 0.000
-5.113 -7.231 12.524
La Li Tm
12 20 48
direct
0.750 0.375 0.125
0.875 0.750 0.125
0.375 0.750 0.625
0.250 0.125 0.375
0.875 0.125 0.250
0.375 0.625 0.250
0.625 0.375 0.750
0.125 0.875 0.750
0.750 0.875 0.625
0.625 0.250 0.375
0.125 0.250 0.875
0.250 0.625 0.875
0.125 0.375 0.250
0.000 0.500 0.000
0.000 0.000 0.000
0.375 0.250 0.125
0.500 0.000 0.500
0.500 0.500 0.000
0.125 0.750 0.375
0.750 0.125 0.875
0.750 0.625 0.375
0.375 0.125 0.750
0.625 0.875 0.250
0.500 0.500 0.500
0.500 0.000 0.000
0.000 0.000 0.500
0.250 0.375 0.625
0.250 0.875 0.125
0.000 0.500 0.500
0.875 0.250 0.625
0.625 0.750 0.875
0.875 0.625 0.750
0.716 0.122 0.050
0.334 0.550 0.428
0.950 0.378 0.284
0.550 0.216 0.122
0.594 0.716 0.666
0.950 0.572 0.166
0.334 0.784 0.406
0.072 0.906 0.122
0.572 0.950 0.666
0.716 0.594 0.166
0.784 0.450 0.378
0.834 0.928 0.050
0.122 0.716 0.550
0.378 0.428 0.094
0.094 0.928 0.378
0.406 0.122 0.572
0.094 0.166 0.216
0.450 0.666 0.072
0.834 0.906 0.284
0.122 0.406 0.072
0.378 0.950 0.784
0.572 0.622 0.406
0.928 0.834 0.550
0.784 0.334 0.906
0.428 0.378 0.594
0.072 0.166 0.450
0.216 0.666 0.094
0.166 0.094 0.716
0.622 0.050 0.216
0.878 0.594 0.928
0.550 0.334 0.928
0.594 0.878 0.428
0.906 0.834 0.784
0.906 0.072 0.622
0.878 0.284 0.450
0.166 0.072 0.950
0.622 0.572 0.906
0.428 0.050 0.334
0.284 0.406 0.834
0.216 0.550 0.622
0.928 0.094 0.878
0.666 0.216 0.594
0.450 0.784 0.878
0.050 0.428 0.834
0.406 0.284 0.334
0.050 0.622 0.716
0.666 0.450 0.572
0.284 0.878 0.950
```

Computed properties:
- final energy (eV per atom) = -3.0721
- size of the total moment (μB/f.u.) = 2.954